(i)
This record from Alexandria via LeMat-Bulk describes a geometry-optimized La3CuPt structure. The functional is PBE.

POSCAR file:
```
La3CuPt
1.0
-5.074 -2.511 0.435
0.742 -2.384 -5.099
2.438 -4.499 2.459
Cu Pt La
1 1 3
direct
0.500 0.500 0.500
0.000 0.000 0.000
0.000 0.500 0.000
0.000 0.000 0.500
0.500 0.000 0.000
```

---

(ii)
This record from Alexandria via LeMat-Bulk describes a geometry-optimized La3CuPt structure. The functional is PBE.

POSCAR file:
```
La3CuPt
1.0
-4.962 -3.629 -0.846
6.106 -3.365 1.057
-1.567 6.020 7.209
La Cu Pt
6 2 2
direct
0.393 0.829 0.150
0.108 0.341 0.658
0.841 0.753 0.752
0.159 0.247 0.248
0.607 0.171 0.850
0.892 0.659 0.342
0.479 0.176 0.513
0.521 0.824 0.487
0.768 0.693 0.024
0.232 0.307 0.976
```

---

(iii)
This record from Alexandria via LeMat-Bulk describes a geometry-optimized La3CuPt structure. The functional is PBE.

POSCAR file:
```
La3CuPt
1.0
4.026 0.000 -0.718
-0.178 6.771 -0.998
-0.206 -0.190 10.491
La Cu Pt
6 2 2
direct
0.992 0.246 0.984
0.008 0.754 0.016
0.368 0.901 0.736
0.632 0.099 0.264
0.180 0.614 0.360
0.820 0.386 0.640
0.762 0.903 0.525
0.238 0.097 0.475
0.578 0.522 0.156
0.422 0.478 0.844
```

---

According to the calculations, the structures order from most to least stable as (iii), (ii), (i).

---

(i)
This record from Alexandria via LeMat-Bulk describes a geometry-optimized La4CuPt structure. The functional is PBE.

POSCAR file:
```
La4CuPt
1.0
-5.162 5.805 -2.677
3.602 -4.536 -5.828
-4.480 -5.180 4.539
La Cu Pt
8 2 2
direct
0.253 0.953 0.700
0.746 0.445 0.698
0.703 0.503 0.200
0.195 0.996 0.198
0.303 0.503 0.800
0.798 0.996 0.802
0.746 0.048 0.302
0.253 0.553 0.300
0.253 0.253 0.000
0.003 0.503 0.500
0.749 0.749 0.000
0.499 0.999 0.500
```

---

(ii)
This record from Alexandria via LeMat-Bulk describes a geometry-optimized La4CuPt structure. The functional is PBE.

POSCAR file:
```
La4CuPt
1.0
-1.588 -4.356 4.160
-1.144 1.607 5.909
-5.817 -0.217 2.216
La Cu Pt
4 1 1
direct
0.872 0.376 0.376
0.376 0.376 0.872
0.376 0.872 0.376
0.376 0.376 0.376
0.000 0.000 0.000
0.750 0.750 0.750
```

---

According to the calculations, the structures order from most to least stable as (i), (ii).